VASP calculation (PBE) on a geometry-optimized NpNbCd structure.

```
NpNbCd
1.0
-3.3327 -3.1179 -0.7841
-4.4149 1.0479 0.9240
-3.0018 0.6417 -3.4670
Cd Nb Np
1 1 1
Cartesian
-5.3747 -0.7141 -1.6635
-2.6873 -0.3571 -0.8318
0.0000 0.0000 0.0000
```

Its formation energy is 301 kJ/mol of formula units. The uncorrected energy comes out at -20.64 eV per cell. Its space group is F-43m, No. 216. Its crystal system is cubic.